[1]
4
Lattice="-2.041 -1.992 -2.171 -2.578 -1.187 3.513 -1.861 3.751 -1.691" Properties=species:S:1:pos:R:3 comment="BeAgSe2 (SCAN, PBEsol geometry)" total_energy_ev_per_atom=-18.5522 magnetic_moment_mub_per_cell=0.00 pbc="T T T"
Be -3.240 0.286 -0.175
Se -1.289 -0.594 1.757
Se -0.931 1.876 -0.846
Ag -1.021 -0.996 -1.086


[2]
32
Lattice="9.513 0.000 0.000 0.000 9.629 0.000 0.000 0.000 10.931" Properties=species:S:1:pos:R:3 comment="Rb3TaS4 (SCAN, PBEsol geometry)" total_energy_ev_per_atom=-22.3983 magnetic_moment_mub_per_cell=0.00 pbc="T T T"
Rb 9.013 6.836 5.936
Rb 1.344 0.773 8.199
Rb 8.169 8.855 2.733
Rb 3.412 5.588 2.733
Rb 0.501 2.793 4.996
Rb 5.257 2.022 0.470
Rb 4.256 7.607 5.936
Rb 9.013 6.836 10.461
Rb 0.501 2.793 0.470
Rb 4.256 7.607 10.461
Rb 5.257 2.022 4.996
Rb 6.101 4.041 8.199
Ta 6.846 9.493 8.199
Ta 2.090 4.950 8.199
Ta 7.424 4.678 2.733
Ta 2.667 0.136 2.733
S 6.655 7.230 8.199
S 1.898 7.213 8.199
S 7.615 2.416 2.733
S 2.858 2.399 2.733
S 0.005 4.036 8.199
S 4.761 0.779 8.199
S 4.752 8.850 2.733
S 9.509 5.593 2.733
S 1.560 9.140 0.854
S 6.316 5.304 4.612
S 3.197 4.325 10.077
S 7.954 0.489 6.320
S 7.954 0.489 10.077
S 1.560 9.140 4.612
S 6.316 5.304 0.854
S 3.197 4.325 6.320


[3]
14
Lattice="-1.869 -1.712 3.451 -7.326 -2.104 -5.011 5.572 -10.841 -2.361" Properties=species:S:1:pos:R:3 comment="Pr3OsI3 (SCAN, PBEsol geometry)" total_energy_ev_per_atom=-45.7109 magnetic_moment_mub_per_cell=0.00 pbc="T T T"
Pr -1.547 -12.298 -2.955
Pr -3.246 -9.497 -5.142
Pr -2.075 -2.359 -0.966
Pr -6.417 -3.547 -3.907
Pr -0.377 -5.160 1.220
Pr 2.795 -11.109 -0.014
Os -2.102 -11.860 -5.695
Os -1.521 -2.797 1.773
I 1.429 -10.632 -3.174
I 0.998 -8.250 0.432
I -5.051 -4.025 -0.748
I -1.085 -5.297 -1.888
I -2.537 -9.360 -2.034
I -4.621 -6.407 -4.353